Crystalline TbCeZnOs at its relaxed geometry, computed with PBE.

It has space group F-43m (No. 216), with a = 7.013 Å, b = 7.013 Å, c = 7.013 Å, α = 90.00°, β = 90.00° and γ = 90.00°. The distinct sites, in fractional coordinates, are Tb at (0.000, 0.000, 0.000), Ce at (0.000, 0.000, 0.500), Zn at (0.250, 0.250, 0.250) and Os at (0.250, 0.250, 0.750).

Its energy relative to the elements is -0.9 eV/f.u. The spin magnetization is 0.00 μB/f.u.